(1)
The following is a DFT calculation (meta-GGA SCAN) of Y2HAu at its PBEsol-relaxed geometry.

a b c (Å): 5.908 5.908 5.908
angles (deg): 104.50 112.01 112.01
Element x y z (fractional)
H 0.000 0.500 0.500
Au 0.000 0.000 0.000
Y 0.078 0.875 0.453
Y 0.578 0.203 0.125
H 0.500 0.250 0.750
Y 0.922 0.375 0.797
Au 0.500 0.750 0.250
Y 0.422 0.547 0.625

Magnetic moment in μB per atom: 0.000
Final energy in eV/atom: -32.78

(2)
The following is a DFT calculation (meta-GGA SCAN) of KRhPb2 at its PBEsol-relaxed geometry.

a b c (Å): 4.585 4.585 5.602
angles (deg): 114.15 114.15 90.00
Element x y z (fractional)
Pb 0.000 0.000 0.000
Pb 0.750 0.250 0.500
K 0.250 0.750 0.500
Rh 0.500 0.500 0.000

DFT formation energy in eV/atom: 0.347
Magnetic moment in μB per atom: 0.000
Final energy in eV/atom: -48.07

(3)
The following is a DFT calculation (meta-GGA SCAN) of KTaZn2 at its PBEsol-relaxed geometry.

a b c (Å): 2.687 5.272 5.272
angles (deg): 90.00 90.00 90.00
Element x y z (fractional)
Ta 0.500 0.875 0.500
Zn 0.000 0.375 0.500
Zn 0.000 0.875 0.000
K 0.500 0.375 0.000

DFT formation energy in eV/atom: 0.455
Magnetic moment in μB per atom: 0.000
Offset from the most stable computed form in eV per atom: 0.000
Final energy in eV/atom: -25.03

(4)
The following is a DFT calculation (meta-GGA SCAN) of Ni3OF5 at its PBEsol-relaxed geometry.

a b c (Å): 4.508 5.521 7.630
angles (deg): 93.84 90.00 90.00
Element x y z (fractional)
F 0.713 0.297 0.218
F 0.212 0.372 0.432
F 0.728 0.970 0.890
F 0.213 0.703 0.782
Ni 0.983 0.071 0.328
Ni 0.023 0.405 0.670
O 0.293 0.205 0.770
Ni 0.981 0.749 0.015
F 0.283 0.869 0.442
Ni 0.523 0.595 0.330
F 0.285 0.535 0.108
F 0.785 0.465 0.892
O 0.793 0.795 0.230
F 0.783 0.131 0.558
Ni 0.483 0.929 0.672
F 0.228 0.030 0.110
Ni 0.481 0.251 0.985
F 0.712 0.628 0.568

Magnetic moment in μB per atom: 0.778
Formation energy without anion corrections in eV per atom: -2.0353
Offset from the most stable computed form in eV per atom: 0.005
Final energy in eV/atom: -10.09

(5)
The following is a DFT calculation (meta-GGA SCAN) of ZnS2NF at its PBEsol-relaxed geometry.

a b c (Å): 3.727 4.772 4.772
angles (deg): 90.00 90.00 90.00
Element x y z (fractional)
S 0.000 0.500 0.000
S 0.000 0.000 0.500
Zn 0.000 0.000 0.000
F 0.500 0.500 0.500
N 0.500 0.000 0.000

Magnetic moment in μB per atom: 1.131
Formation energy without anion corrections in eV per atom: 1.0248
Final energy in eV/atom: -8.10

(6)
The following is a DFT calculation (meta-GGA SCAN) of Ba2ZnB6O12 at its PBEsol-relaxed geometry.

a b c (Å): 7.156 7.196 11.787
angles (deg): 96.51 94.04 119.76
Element x y z (fractional)
Zn 0.894 0.863 0.587
Ba 0.345 0.682 0.053
O 0.960 0.381 0.125
Ba 0.264 0.581 0.710
B 0.366 0.178 0.618
O 0.539 0.390 0.628
O 0.162 0.142 0.594
B 0.994 0.216 0.129
O 0.646 0.875 0.627
O 0.205 0.249 0.127
O 0.410 0.013 0.631
B 0.140 0.174 0.872
B 0.250 0.080 0.124
Ba 0.655 0.318 0.947
B 0.248 0.569 0.374
B 0.378 0.952 0.368
O 0.448 0.110 0.119
O 0.040 0.619 0.875
O 0.927 0.131 0.876
O 0.590 0.987 0.369
B 0.622 0.048 0.632
O 0.073 0.869 0.124
O 0.791 0.261 0.637
O 0.795 0.751 0.873
O 0.209 0.739 0.363
O 0.918 0.621 0.611
O 0.692 0.627 0.127
O 0.082 0.379 0.389
Zn 0.106 0.137 0.413
B 0.860 0.826 0.128
O 0.552 0.890 0.881
O 0.827 0.005 0.134
B 0.752 0.431 0.626
B 0.634 0.822 0.382
O 0.354 0.125 0.373
B 0.006 0.784 0.871
O 0.173 0.995 0.866
B 0.750 0.920 0.876
O 0.838 0.858 0.406
O 0.461 0.610 0.372
Ba 0.736 0.419 0.290
O 0.308 0.373 0.873

Magnetic moment in μB per atom: 0.000
Formation energy without anion corrections in eV per atom: -2.7363
Final energy in eV/atom: -12.83